{
  "formula": "PrZr2Al6",
  "functional": "PBE",
  "state": "relaxed",
  "density_g_cm3": 4.11,
  "e_form_mev_per_atom": -294,
  "total_energy_ev_per_cell": -46.98,
  "space_group": "Immm (71)",
  "cell": [[-2.688, 3.010, -1.434], [-6.165, -0.258, 4.618], [-1.366, 4.674, 5.975]],
  "species": ["Al", "Al", "Al", "Al", "Al", "Al", "Pr", "Zr", "Zr"],
  "fractional_positions": [[0.691, 0.601, 0.017], [0.691, 0.017, 0.601], [0.309, 0.983, 0.399], [0.309, 0.399, 0.983], [0.500, 0.679, 0.321], [0.500, 0.321, 0.679], [0.000, 0.000, 0.000], [0.119, 0.381, 0.381], [0.881, 0.619, 0.619]]
}


{
  "formula": "Al2Pt",
  "functional": "PBE",
  "state": "relaxed",
  "density_g_cm3": 8.72,
  "e_form_mev_per_atom": -567,
  "total_energy_ev_per_cell": -15.23,
  "space_group": "P-3m1 (164)",
  "cell": [[2.973, 0.000, 0.000], [-1.486, 2.575, 0.000], [0.000, 0.000, 6.196]],
  "species": ["Al", "Al", "Pt"],
  "fractional_positions": [[0.333, 0.667, 0.318], [0.667, 0.333, 0.682], [0.000, 0.000, 0.000]]
}


{
  "formula": "AlPt",
  "functional": "PBE",
  "state": "relaxed",
  "density_g_cm3": 10.90,
  "e_form_mev_per_atom": -766,
  "total_energy_ev_per_cell": -90.52,
  "space_group": "I4/m (87)",
  "cell": [[-5.513, -5.216, -0.414], [2.578, -3.231, 6.379], [-2.806, 2.765, 2.535]],
  "species": ["Pt", "Pt", "Pt", "Pt", "Pt", "Pt", "Pt", "Pt", "Al", "Al", "Al", "Al", "Al", "Al", "Al", "Al"],
  "fractional_positions": [[0.877, 0.228, 0.000], [0.377, 0.728, 0.500], [0.772, 0.877, 0.000], [0.728, 0.623, 0.500], [0.228, 0.123, 0.000], [0.272, 0.377, 0.500], [0.123, 0.772, 0.000], [0.623, 0.272, 0.500], [0.820, 0.547, 0.000], [0.320, 0.047, 0.500], [0.047, 0.680, 0.500], [0.453, 0.820, 0.000], [0.180, 0.453, 0.000], [0.547, 0.180, 0.000], [0.953, 0.320, 0.500], [0.680, 0.953, 0.500]]
}


{
  "formula": "AlPt3",
  "functional": "PBE",
  "state": "relaxed",
  "density_g_cm3": 16.64,
  "e_form_mev_per_atom": -580,
  "total_energy_ev_per_cell": -24.19,
  "space_group": "Immm (71)",
  "cell": [[-0.694, 5.300, -0.397], [-3.513, 1.925, -3.561], [0.956, -2.981, 4.350]],
  "species": ["Pt", "Pt", "Pt", "Al"],
  "fractional_positions": [[0.000, 0.500, 0.500], [0.725, 0.725, 0.000], [0.275, 0.275, 0.000], [0.500, 0.000, 0.500]]
}


What is the formula in the second record?
Al2Pt